[1]
La14NdPu after structural relaxation. Source: Alexandria via LeMat-Bulk, functional PBE-GGA.

Structure (POSCAR):
```
La14NdPu
1.0
-4.313 -5.339 2.743
5.895 -3.106 3.199
-1.633 5.716 8.560
La Nd Pu
14 1 1
Direct
0.374 0.626 0.500
0.875 0.125 0.500
0.883 0.636 0.000
0.867 0.619 0.500
0.364 0.117 0.000
0.381 0.133 0.500
0.630 0.880 0.756
0.630 0.880 0.244
0.120 0.370 0.756
0.120 0.370 0.244
0.122 0.878 0.748
0.122 0.878 0.252
0.631 0.369 0.764
0.631 0.369 0.236
0.375 0.625 0.000
0.875 0.125 0.000
```

Values from the calculation:
DFT formation energy	0.0283	eV per atom


[2]
SmBe4NiPt2 after structural relaxation. Source: Alexandria via LeMat-Bulk, functional PBE-GGA.

Structure (POSCAR):
```
SmBe4NiPt2
1.0
-1.256 -1.856 3.176
2.439 -2.245 2.031
2.491 5.057 6.318
Sm Be Ni Pt
1 4 1 2
Direct
0.000 0.000 0.000
0.412 0.412 0.765
0.865 0.865 0.404
0.135 0.135 0.596
0.588 0.588 0.235
0.500 0.500 0.500
0.767 0.767 0.699
0.233 0.233 0.301
```

Values from the calculation:
DFT formation energy	-0.6359	eV per atom


[3]
Cu2AgPb after structural relaxation. Source: Alexandria via LeMat-Bulk, functional PBE-GGA.

Structure (POSCAR):
```
Cu2AgPb
1.0
4.201 0.000 0.000
0.000 3.332 0.000
0.000 1.688 5.154
Ag Cu Pb
1 2 1
Direct
0.500 0.776 0.824
0.000 0.199 0.980
0.500 0.063 0.246
0.000 0.462 0.450
```

Values from the calculation:
DFT formation energy	0.2048	eV per atom


[4]
Th2TcNiGe6 after structural relaxation. Source: Alexandria via LeMat-Bulk, functional PBE-GGA.

Structure (POSCAR):
```
Th2TcNiGe6
1.0
6.540 0.000 0.000
0.000 6.916 0.000
0.000 0.000 8.822
Th Tc Ni Ge
4 2 2 12
Direct
0.500 0.746 0.245
0.000 0.254 0.745
0.500 0.746 0.755
0.000 0.254 0.255
0.500 0.095 0.500
0.000 0.905 0.000
0.000 0.604 0.500
0.500 0.396 0.000
0.500 0.266 0.250
0.500 0.266 0.750
0.000 0.734 0.250
0.000 0.734 0.750
0.188 0.919 0.500
0.812 0.919 0.500
0.305 0.434 0.500
0.695 0.434 0.500
0.805 0.566 0.000
0.195 0.566 0.000
0.312 0.081 0.000
0.688 0.081 0.000
```

Values from the calculation:
DFT formation energy	-0.3284	eV per atom


[5]
CsSmSiS4 after structural relaxation. Source: Alexandria via LeMat-Bulk, functional PBE-GGA.

Structure (POSCAR):
```
CsSmSiS4
1.0
-0.562 -5.817 2.838
3.392 -2.819 -5.107
8.032 4.048 3.099
Cs Sm Si S
2 2 2 8
Direct
0.728 0.750 0.936
0.272 0.250 0.064
0.772 0.750 0.455
0.228 0.250 0.545
0.217 0.750 0.337
0.783 0.250 0.663
0.001 0.498 0.698
0.999 0.998 0.302
0.999 0.502 0.302
0.001 0.002 0.698
0.409 0.750 0.194
0.591 0.250 0.806
0.413 0.750 0.562
0.587 0.250 0.438
```

Values from the calculation:
uncorrected energy	-75.28	eV per cell


[6]
MgAlP2O8 after structural relaxation. Source: Alexandria via LeMat-Bulk, functional PBE-GGA.

Structure (POSCAR):
```
MgAlP2O8
1.0
-4.126 -0.152 -3.394
3.810 -3.588 -1.083
-1.899 -1.109 4.871
Mg Al P O
1 1 2 8
Direct
0.250 0.750 0.500
0.000 0.000 0.000
0.750 0.250 0.500
0.500 0.500 0.000
0.393 0.088 0.305
0.330 0.515 0.186
0.330 0.144 0.814
0.782 0.088 0.695
0.856 0.670 0.186
0.912 0.218 0.305
0.912 0.607 0.695
0.485 0.670 0.814
```

Values from the calculation:
uncorrected energy	-82.21	eV per cell


[7]
CsBaHgS2 after structural relaxation. Source: Alexandria via LeMat-Bulk, functional PBE-GGA.

Structure (POSCAR):
```
CsBaHgS2
1.0
5.826 0.000 0.000
0.000 8.023 0.473
0.000 -2.029 8.718
Cs Ba Hg S
2 2 2 4
Direct
0.142 0.500 0.750
0.858 0.500 0.250
0.489 0.000 0.250
0.511 0.000 0.750
0.000 0.000 0.000
0.000 0.000 0.500
0.690 0.765 0.968
0.690 0.235 0.532
0.310 0.765 0.468
0.310 0.235 0.032
```

Values from the calculation:
uncorrected energy	-32.14	eV per cell


[8]
Zr2Ni2Sn after structural relaxation. Source: Alexandria via LeMat-Bulk, functional PBE-GGA.

Structure (POSCAR):
```
Zr2Ni2Sn
1.0
4.407 0.000 0.000
0.000 4.407 0.000
2.204 2.204 4.990
Ni Sn Zr
2 1 2
Direct
0.388 0.388 0.224
0.612 0.612 0.776
0.000 0.000 0.000
0.750 0.250 0.500
0.250 0.750 0.500
```

Values from the calculation:
DFT formation energy	-0.1798	eV per atom


Please write out number 3 again, unchanged.
Cu2AgPb after structural relaxation. Source: Alexandria via LeMat-Bulk, functional PBE-GGA.

Structure (POSCAR):
```
Cu2AgPb
1.0
4.201 0.000 0.000
0.000 3.332 0.000
0.000 1.688 5.154
Ag Cu Pb
1 2 1
Direct
0.500 0.776 0.824
0.000 0.199 0.980
0.500 0.063 0.246
0.000 0.462 0.450
```

Values from the calculation:
DFT formation energy	0.2048	eV per atom